The following is a DFT calculation (PBE-GGA) of YMn2Fe6 after structural relaxation.

a = 4.3125 Å, b = 6.7789 Å, c = 6.7790 Å
α = 45.49°, β = 71.43°, γ = 71.43°
Last column: magnetic moment on the atom in μB.
Element x y z (fractional)
Y1 0.0000 0.0000 0.0000  -0.16
Mn1 0.1128 0.3870 0.3870  3.17
Mn2 0.8872 0.6130 0.6130  3.17
Fe1 0.3011 0.9462 0.4517  2.61
Fe2 0.6989 0.0538 0.5483  2.61
Fe3 0.6989 0.5483 0.0538  2.61
Fe4 0.5000 0.2939 0.7061  2.01
Fe5 0.5000 0.7061 0.2939  2.01
Fe6 0.3011 0.4517 0.9462  2.61

Output
The energy relative to the elements is 0.392 eV/atom. Its space group is Immm (71).

***

The following is a DFT calculation (PBE-GGA) of LiY3Sn2 after structural relaxation.

a = 6.3535 Å, b = 6.3205 Å, c = 9.3470 Å
α = 109.76°, β = 109.87°, γ = 90.00°
Last column: magnetic moment on the atom in μB.
Element x y z (fractional)
Li1 0.0000 0.2500 0.0000  0.02
Li2 0.0000 0.7500 0.0000  0.02
Y1 0.4211 0.6769 0.3537  0.24
Y2 0.5789 0.3231 0.6463  0.24
Y3 0.0674 0.8231 0.6463  0.24
Y4 0.9326 0.1769 0.3537  0.24
Y5 0.5000 0.7500 0.0000  0.44
Y6 0.5000 0.2500 0.0000  0.44
Sn1 0.3754 0.1318 0.2637  -0.02
Sn2 0.6246 0.8682 0.7363  -0.02
Sn3 0.1117 0.3682 0.7363  -0.02
Sn4 0.8883 0.6318 0.2637  -0.02

Output
The energy relative to the elements is -0.557 eV/atom. Its space group is Ibam (72).

***

The following is a DFT calculation (PBE-GGA) of TaAgSeN2 after structural relaxation.

a = 3.9808 Å, b = 3.9808 Å, c = 5.5790 Å
α = 90.00°, β = 90.00°, γ = 90.00°
Last column: magnetic moment on the atom in μB.
Element x y z (fractional)
N1 0.0000 0.5000 0.0000  0.24
N2 0.5000 0.0000 0.0000  0.24
Se1 0.0000 0.0000 0.5000  0.02
Ag1 0.5000 0.5000 0.5000  0.01
Ta1 0.0000 0.0000 0.0000  -0.06

Output
The value obtained for the polymorph energy (0 for the lowest one) is 0 meV/atom. For the uncorrected formation energy, the calculation gives 4.96 kcal/mol of atoms. Its space group is P4/mmm (123).

***

Quick rundown of uncorrected energy, same order as above: -8.0053, -5.4423, -6.7528 eV/atom
Quick rundown of M_tot, same order as above: 20.74, 3.85, 0.64 Bohr magnetons per cell
Quick rundown of D(E_F), same order as above: 8.5, 3.4, 2.2 states/eV/f.u.